No. 1
DFT (GGA-PBE) results for Cd2In5Pb after structural relaxation.

Lattice parameters (Å, degrees): 4.792 4.792 18.613 90.00 90.00 90.00
Element x y z (fractional)
Cd 0.000 0.000 0.249
Cd 0.000 0.000 0.751
Cd 0.500 0.500 0.251
Cd 0.500 0.500 0.749
In 0.000 0.000 0.000
In 0.000 0.500 0.134
In 0.000 0.500 0.366
In 0.000 0.500 0.634
In 0.000 0.500 0.866
In 0.500 0.000 0.134
In 0.500 0.000 0.366
In 0.500 0.000 0.634
In 0.500 0.000 0.866
In 0.500 0.500 0.500
Pb 0.000 0.000 0.500
Pb 0.500 0.500 0.000

Computed properties:
Total DFT energy (no corrections): -37.92 eV per cell
Energy of formation: 0.27 eV/f.u.
D(E_F): 6.8 states/eV/cell

---

No. 2
DFT (GGA-PBE) results for USb2Pd8 after structural relaxation.

Lattice parameters (Å, degrees): 7.216 7.216 4.724 102.78 102.78 115.76
Element x y z (fractional)
U 0.000 0.000 0.000
Sb 0.314 0.686 0.500
Sb 0.686 0.314 0.500
Pd 0.081 0.318 0.612
Pd 0.220 0.780 0.000
Pd 0.318 0.081 0.612
Pd 0.389 0.389 0.173
Pd 0.611 0.611 0.827
Pd 0.682 0.919 0.388
Pd 0.780 0.220 0.000
Pd 0.919 0.682 0.388

Computed properties:
Total DFT energy (no corrections): -64.82 eV per cell
D(E_F): 10.6 states/eV/cell